# Fe2CoPbF8 | Alexandria | PBE with a Hubbard U | optimized geometry
# Energy = -5.24 eV per atom
# Fermi-level density of states = 0.000 states/eV per cell
data_Fe2CoPbF8
_symmetry_space_group_name_H-M 'P 1'
_symmetry_Int_Tables_number 1
_cell_length_a 4.9979
_cell_length_b 6.8846
_cell_length_c 5.0183
_cell_angle_alpha 90.00
_cell_angle_beta 91.47
_cell_angle_gamma 90.00
loop_
_symmetry_equiv_pos_as_xyz
'x,y,z'
loop_
_atom_site_label
_atom_site_type_symbol
_atom_site_fract_x
_atom_site_fract_y
_atom_site_fract_z
_atom_site_occupancy
Fe1 Fe 0.0000 0.2356 0.0000 1
Fe2 Fe 0.0000 0.7644 0.0000 1
Co1 Co 0.5000 0.0000 0.5000 1
Pb1 Pb 0.5000 0.5000 0.5000 1
F1 F 0.1602 0.5000 0.8229 1
F2 F 0.2009 0.0000 0.7928 1
F3 F 0.2955 0.2144 0.2863 1
F4 F 0.2955 0.7856 0.2863 1
F5 F 0.7045 0.2144 0.7137 1
F6 F 0.7045 0.7856 0.7137 1
F7 F 0.7991 0.0000 0.2072 1
F8 F 0.8398 0.5000 0.1771 1